A plane-wave DFT calculation with PBE was carried out for crystalline K2AsCl at its relaxed geometry.

E	-22.80	eV per cell
polymorph energy (0 for the lowest one)	231	meV/atom
SG	I-42d

abc: 7.4975 7.4975 7.4975
angles: 110.65 110.65 107.15
Sites, in units of the cell vectors:
1 K 0.0900 0.6250 0.9650
2 K 0.3750 0.3400 0.4650
3 K 0.6600 0.1250 0.0350
4 K 0.8750 0.9100 0.5350
5 As 0.2500 0.7500 0.5000
6 As 0.5000 0.5000 0.0000
7 Cl 0.0000 0.0000 0.0000
8 Cl 0.7500 0.2500 0.5000